Entry 1:
DFT (PBE) results for a relaxed structure of Na2U3Se8.

Formation energy without anion corrections, eV/atom: -1.10
Total energy, eV per atom: -6.048
Total magnetization, μB per cell: 8.00

a b c (Å): 14.467 8.352 7.157
angles (deg): 90.00 107.82 90.00
Space group C2/m (No. 12)
Unique sites:
Na1 0.231 0.000 0.148
U1 0.000 0.244 0.500
U2 0.000 0.500 0.000
Se1 0.108 0.500 0.403
Se2 0.109 0.267 0.891
Se3 0.113 0.000 0.438

Entry 2:
DFT (PBE) results for a relaxed structure of CaPtSe.

Formation energy without anion corrections, eV/atom: -0.75
Total energy, eV per atom: -4.590
Total magnetization, μB per cell: 0.00

a b c (Å): 3.940 3.940 8.614
angles (deg): 90.00 90.00 90.00
Space group I4mm (No. 107)
Unique sites:
Ca1 0.000 0.000 0.000
Pt1 0.000 0.000 0.630
Se1 0.000 0.000 0.347

Entry 3:
DFT (PBE) results for a relaxed structure of ReGeSe2N.

Relative energy among the computed polymorphs, meV/atom: 0
Formation energy without anion corrections, eV/atom: 0.33
Total energy, eV per atom: -6.142
Total magnetization, μB per cell: 0.00

a b c (Å): 5.101 5.101 3.735
angles (deg): 90.00 90.00 90.00
Space group P4/mmm (No. 123)
Unique sites:
Re1 0.000 0.000 0.000
Ge1 0.500 0.500 0.500
Se1 0.000 0.500 0.000
N1 0.000 0.000 0.500

Entry 4:
DFT (PBE) results for a relaxed structure of Zr2CoIr.

ΔE_f, kJ/mol of formula units: -212
Total energy, eV per atom: -8.814
Total magnetization, μB per cell: 1.38

a b c (Å): 4.595 4.595 3.303
angles (deg): 90.00 90.00 90.00
Space group P4/mmm (No. 123)
Unique sites:
Zr1 0.000 0.500 0.000
Co1 0.000 0.000 0.500
Ir1 0.500 0.500 0.500

Entry 5:
DFT (PBE) results for a relaxed structure of CaCd2Fe.

ΔE_f, kJ/mol of formula units: 81
Total energy, eV per atom: -2.865
Total magnetization, μB per cell: 2.51

a b c (Å): 4.435 4.435 4.443
angles (deg): 90.00 90.00 90.00
Space group P4/mmm (No. 123)
Unique sites:
Ca1 0.000 0.000 0.000
Cd1 0.000 0.500 0.500
Fe1 0.500 0.500 0.000

Entry 6:
DFT (PBE) results for a relaxed structure of TbCeInIr.

ΔE_f, kJ/mol of formula units: -164
Total energy, eV per atom: -5.966
Total magnetization, μB per cell: 1.92

a b c (Å): 7.276 7.276 7.276
angles (deg): 90.00 90.00 90.00
Space group F-43m (No. 216)
Unique sites:
Tb1 0.000 0.000 0.000
Ce1 0.000 0.000 0.500
In1 0.250 0.250 0.750
Ir1 0.250 0.250 0.250

Entry 7:
DFT (PBE) results for a relaxed structure of CoGeAsPt.

Relative energy among the computed polymorphs, meV/atom: 143
ΔE_f, kJ/mol of formula units: -66
Total energy, eV per atom: -5.776
Total magnetization, μB per cell: 0.59

a b c (Å): 8.222 2.915 5.540
angles (deg): 90.00 107.72 90.00
Space group Cm (No. 8)
Unique sites:
Co1 0.000 0.000 0.000
Ge1 0.257 0.000 0.870
As1 0.169 0.500 0.302
Pt1 0.488 0.500 0.510

Entry 8:
DFT (PBE) results for a relaxed structure of Na2SmRuO6.

Formation energy without anion corrections, eV/atom: -1.66
Total energy, eV per atom: -6.297
Total magnetization, μB per cell: 0.46

a b c (Å): 5.665 5.814 9.851
angles (deg): 90.00 124.51 90.00
Space group P2_1/c (No. 14)
Unique sites:
Na1 0.240 0.043 0.251
Sm1 0.500 0.000 0.000
Ru1 0.000 0.000 0.500
O1 0.119 0.227 0.946
O2 0.227 0.679 0.953
O3 0.319 0.032 0.724

Repeat the eighth record exactly.
DFT (PBE) results for a relaxed structure of Na2SmRuO6.

Formation energy without anion corrections, eV/atom: -1.66
Total energy, eV per atom: -6.297
Total magnetization, μB per cell: 0.46

a b c (Å): 5.665 5.814 9.851
angles (deg): 90.00 124.51 90.00
Space group P2_1/c (No. 14)
Unique sites:
Na1 0.240 0.043 0.251
Sm1 0.500 0.000 0.000
Ru1 0.000 0.000 0.500
O1 0.119 0.227 0.946
O2 0.227 0.679 0.953
O3 0.319 0.032 0.724